Here is an optimized crystal structure of LaEr7Sc4 from Alexandria. Energies are from GGA-PBE.

Calculated values
energy = -0.18957 hartree per atom

Cell lengths 6.9496, 9.1919, 8.5415 Å; angles 81.08, 90.05, 40.85 degrees
Atoms (fractional coordinates):
La1 0.0000 0.0000 0.0000
Er1 0.7542 0.5017 0.0040
Er2 0.2458 0.4983 0.9960
Er3 0.9740 0.2835 0.6598
Er4 0.0260 0.7165 0.3402
Er5 0.2252 0.7752 0.6615
Er6 0.5000 0.0000 0.0000
Er7 0.7748 0.2248 0.3385
Sc1 0.5317 0.7246 0.3386
Sc2 0.4683 0.2754 0.6614
Sc3 0.7166 0.7832 0.6595
Sc4 0.2834 0.2168 0.3405


Here is an optimized crystal structure of LaEr2Sc from Alexandria. Energies are from GGA-PBE.

Calculated values
offset from the most stable computed form = 0.0214 eV/atom

Cell lengths 3.5170, 3.5170, 11.5578 Å; angles 81.25, 81.25, 60.00 degrees
Atoms (fractional coordinates):
La1 0.5007 0.5007 0.4980
Er1 0.0777 0.0777 0.7669
Er2 0.2555 0.2555 0.2334
Sc1 0.6661 0.6661 0.0017


Here is an optimized crystal structure of La8ErSc2 from Alexandria. Energies are from GGA-PBE.

Calculated values
energy = -0.18760 hartree per atom

Cell lengths 5.1587, 8.1536, 10.7662 Å; angles 121.43, 103.86, 90.00 degrees
Atoms (fractional coordinates):
La1 0.5961 0.7342 0.1922
La2 0.3168 0.5490 0.6337
La3 0.1402 0.0850 0.2805
La4 0.0487 0.3697 0.0974
La5 0.8598 0.9150 0.7195
La6 0.6832 0.4510 0.3663
La7 0.4039 0.2658 0.8078
La8 0.9513 0.6303 0.9026
Er1 0.5000 0.0000 0.0000
Sc1 0.2271 0.8227 0.4542
Sc2 0.7729 0.1773 0.5458


Here is an optimized crystal structure of LaEr4Sc2 from Alexandria. Energies are from GGA-PBE.

Calculated values
energy = -0.16007 hartree per atom

Cell lengths 5.5433, 5.5433, 8.7714 Å; angles 108.42, 108.42, 90.00 degrees
Atoms (fractional coordinates):
La1 0.0000 0.0000 0.0000
Er1 0.8118 0.8118 0.6237
Er2 0.1882 0.1882 0.3763
Er3 0.0000 0.5000 0.0000
Er4 0.5000 0.0000 0.0000
Sc1 0.3955 0.3955 0.7910
Sc2 0.6045 0.6045 0.2090


Here is an optimized crystal structure of La3ErSc2 from Alexandria. Energies are from GGA-PBE.

Calculated values
energy = -0.18706 hartree per atom

Cell lengths 5.2531, 8.8083, 8.8083 Å; angles 107.03, 90.00, 90.00 degrees
Atoms (fractional coordinates):
La1 0.9930 0.9132 0.3581
La2 0.4930 0.6419 0.0868
La3 0.9930 0.3581 0.9132
La4 0.4930 0.0868 0.6419
La5 0.4930 0.9333 0.9333
La6 0.9930 0.0667 0.0667
Er1 0.9930 0.7111 0.7111
Er2 0.4930 0.2889 0.2889
Sc1 0.4930 0.6890 0.4725
Sc2 0.9930 0.5275 0.3110
Sc3 0.4930 0.4725 0.6890
Sc4 0.9930 0.3110 0.5275


Here is an optimized crystal structure of La6Er8Sc from Alexandria. Energies are from GGA-PBE.

Calculated values
energy = -0.17331 hartree per atom

Cell lengths 8.7459, 8.7459, 8.7459 Å; angles 62.22, 62.22, 62.22 degrees
Atoms (fractional coordinates):
La1 0.9092 0.4618 0.7684
La2 0.2316 0.0908 0.5382
La3 0.5382 0.2316 0.0908
La4 0.4618 0.7684 0.9092
La5 0.7684 0.9092 0.4618
La6 0.0908 0.5382 0.2316
Er1 0.1139 0.7056 0.7668
Er2 0.2332 0.8861 0.2944
Er3 0.2944 0.2332 0.8861
Er4 0.5771 0.5771 0.5771
Er5 0.4229 0.4229 0.4229
Er6 0.7056 0.7668 0.1139
Er7 0.7668 0.1139 0.7056
Er8 0.8861 0.2944 0.2332
Sc1 0.0000 0.0000 0.0000


Here is an optimized crystal structure of La8Er6Sc from Alexandria. Energies are from GGA-PBE.

Calculated values
energy = -0.17313 hartree per atom

Cell lengths 6.6438, 9.3564, 9.3564 Å; angles 120.00, 90.00, 90.00 degrees
Atoms (fractional coordinates):
La1 0.8246 0.0475 0.2874
La2 0.8246 0.7126 0.7600
La3 0.8246 0.2400 0.9525
La4 0.1754 0.9525 0.7126
La5 0.1754 0.2874 0.2400
La6 0.1754 0.7600 0.0475
La7 0.8755 0.3333 0.6667
La8 0.1245 0.6667 0.3333
Er1 0.6534 0.6605 0.0999
Er2 0.6534 0.9001 0.5606
Er3 0.6534 0.4394 0.3395
Er4 0.3466 0.3395 0.9001
Er5 0.3466 0.0999 0.4394
Er6 0.3466 0.5606 0.6605
Sc1 0.5000 0.0000 0.0000


Here is an optimized crystal structure of LaEr2Sc from Alexandria. Energies are from GGA-PBE.

Calculated values
offset from the most stable computed form = 0.0256 eV/atom

Cell lengths 5.0499, 4.9224, 4.9224 Å; angles 90.00, 90.00, 90.00 degrees
Atoms (fractional coordinates):
Sc1 0.5000 0.0000 0.0000
La1 0.5000 0.5000 0.5000
Er1 0.0000 0.0000 0.5000
Er2 0.0000 0.5000 0.0000


Number 1: M_tot 0.00 μB per atom, N(E_F) 17.92 states/eV/f.u.. Number 2: M_tot 0.00 μB per atom, N(E_F) 5.53 states/eV/f.u.. Number 3: M_tot 0.00 μB per atom, N(E_F) 19.15 states/eV/f.u.. Number 4: M_tot 0.00 μB per atom, N(E_F) 8.67 states/eV/f.u.. Number 5: M_tot 0.00 μB per atom, N(E_F) 9.71 states/eV/f.u.. Number 6: M_tot 0.00 μB per atom, N(E_F) 23.37 states/eV/f.u.. Number 7: M_tot 0.00 μB per atom, N(E_F) 25.17 states/eV/f.u.. Number 8: M_tot 0.00 μB per atom, N(E_F) 7.26 states/eV/f.u..